Sm5Hg4Pd: relaxed, PBE-GGA.

Computed properties:
Formation energy from the elements: -0.54 eV per atom
Total energy: -3.53 eV/atom

Lattice parameters (Å, degrees): 3.747 3.747 18.772 90.00 90.00 90.00
Element x y z (fractional)
1 Sm 0.500 0.500 0.294
2 Sm 0.500 0.500 0.090
3 Sm 0.500 0.500 0.910
4 Sm 0.500 0.500 0.706
5 Sm 0.500 0.500 0.500
6 Hg 0.000 0.000 0.194
7 Hg 0.000 0.000 0.806
8 Hg 0.000 0.000 0.397
9 Hg 0.000 0.000 0.603
10 Pd 0.000 0.000 0.000